A plane-wave DFT calculation with PBE was carried out for crystalline LiPd7 at its relaxed geometry.

The structure in CIF format:
```
data_LiPd7
_cell_length_a 7.836
_cell_length_b 7.836
_cell_length_c 7.836
_cell_angle_alpha 90.00
_cell_angle_beta 90.00
_cell_angle_gamma 90.00
_symmetry_space_group_name_H-M 'F m -3 m'
_symmetry_Int_Tables_number 225
_symmetry_space_group_name_Hall '-F 4 2 3'
loop_
_atom_site_label
_atom_site_type_symbol
_atom_site_fract_x
_atom_site_fract_y
_atom_site_fract_z
Li1 Li 0.000 0.000 0.000
Pd1 Pd 0.000 0.000 0.500
Pd2 Pd 0.000 0.250 0.250
```

- final energy (eV/atom) = -4.944

A plane-wave DFT calculation with PBE was carried out for crystalline AcTcAsO at its relaxed geometry.

The structure in CIF format:
```
data_AcTcAsO
_cell_length_a 4.123
_cell_length_b 4.123
_cell_length_c 9.261
_cell_angle_alpha 90.00
_cell_angle_beta 90.00
_cell_angle_gamma 90.00
_symmetry_space_group_name_H-M 'P 4/n m m'
_symmetry_Int_Tables_number 129
loop_
_symmetry_equiv_pos_as_xyz
'x,y,z'
'-x,-y,-z'
'-y+1/2,x,z'
'y+1/2,-x,-z'
'-x+1/2,-y+1/2,z'
'x+1/2,y+1/2,-z'
'y,-x+1/2,z'
'-y,x+1/2,-z'
'x+1/2,-y,-z'
'-x+1/2,y,z'
'-y,-x,-z'
'y,x,z'
'-x,y+1/2,-z'
'x,-y+1/2,z'
'y+1/2,x+1/2,-z'
'-y+1/2,-x+1/2,z'
loop_
_atom_site_label
_atom_site_type_symbol
_atom_site_fract_x
_atom_site_fract_y
_atom_site_fract_z
Ac1 Ac 0.250 0.250 0.142
Tc1 Tc 0.250 0.750 0.500
As1 As 0.250 0.250 0.655
O1 O 0.250 0.750 0.000
```

- polymorph energy (0 for the lowest one) (eV per atom) = 0.000
- final energy (eV/atom) = -7.771
- spin magnetization (μB per formula unit) = 0.0

A plane-wave DFT calculation with PBE was carried out for crystalline YLuNO at its relaxed geometry.

The structure in CIF format:
```
data_YLuNO
_cell_length_a 7.987
_cell_length_b 6.518
_cell_length_c 4.866
_cell_angle_alpha 90.00
_cell_angle_beta 90.00
_cell_angle_gamma 90.00
_symmetry_space_group_name_H-M 'P b c m'
_symmetry_Int_Tables_number 57
loop_
_symmetry_equiv_pos_as_xyz
'x,y,z'
'-x,-y,-z'
'-x,-y,z+1/2'
'x,y,-z+1/2'
'x,-y+1/2,-z'
'-x,y+1/2,z'
'-x,y+1/2,-z+1/2'
'x,-y+1/2,z+1/2'
loop_
_atom_site_label
_atom_site_type_symbol
_atom_site_fract_x
_atom_site_fract_y
_atom_site_fract_z
Y1 Y 0.129 0.082 0.250
Lu1 Lu 0.380 0.570 0.250
N1 N 0.131 0.063 0.750
O1 O 0.376 0.598 0.750
```

- polymorph energy (0 for the lowest one) (eV per atom) = 0.109
- final energy (eV/atom) = -8.278
- spin magnetization (μB per formula unit) = 0.0

A plane-wave DFT calculation with PBE was carried out for crystalline YMg4AlPd2 at its relaxed geometry.

The structure in CIF format:
```
data_YMg4AlPd2
_cell_length_a 5.934
_cell_length_b 5.202
_cell_length_c 14.781
_cell_angle_alpha 90.00
_cell_angle_beta 90.00
_cell_angle_gamma 90.00
_symmetry_space_group_name_H-M 'A m m 2'
_symmetry_Int_Tables_number 38
loop_
_symmetry_equiv_pos_as_xyz
'x,y,z'
'-x,-y,z'
'-x,y,z'
'x,-y,z'
'x,y+1/2,z+1/2'
'-x,-y+1/2,z+1/2'
'-x,y+1/2,z+1/2'
'x,-y+1/2,z+1/2'
loop_
_atom_site_label
_atom_site_type_symbol
_atom_site_fract_x
_atom_site_fract_y
_atom_site_fract_z
Y1 Y 0.000 0.000 0.000
Mg1 Mg 0.250 0.000 0.810
Mg2 Mg 0.251 0.000 0.189
Al1 Al 0.000 0.000 0.499
Pd1 Pd 0.000 0.000 0.337
Pd2 Pd 0.000 0.000 0.661
```

- final energy (eV/atom) = -3.145
- spin magnetization (μB per formula unit) = 0.0

A plane-wave DFT calculation with PBE was carried out for crystalline NaRe at its relaxed geometry.

The structure in CIF format:
```
data_NaRe
_cell_length_a 2.6964
_cell_length_b 2.6964
_cell_length_c 5.4110
_cell_angle_alpha 90.00
_cell_angle_beta 90.00
_cell_angle_gamma 120.00
_symmetry_space_group_name_H-M 'P -6 m 2'
_symmetry_Int_Tables_number 187
_symmetry_space_group_name_Hall 'P -6 2'
loop_
_atom_site_label
_atom_site_type_symbol
_atom_site_fract_x
_atom_site_fract_y
_atom_site_fract_z
Na1 Na 0.0000 0.0000 0.0000
Re1 Re 0.6667 0.3333 0.5000
```

- polymorph energy (0 for the lowest one) (eV per atom) = 0.000
- final energy (eV/atom) = -6.051
- spin magnetization (μB per formula unit) = 0.0

A plane-wave DFT calculation with PBE was carried out for crystalline ZnGeTe4Au2 at its relaxed geometry.

The structure in CIF format:
```
data_ZnGeTe4Au2
_cell_length_a 6.316
_cell_length_b 6.316
_cell_length_c 12.517
_cell_angle_alpha 90.00
_cell_angle_beta 90.00
_cell_angle_gamma 90.00
_symmetry_space_group_name_H-M 'I -4 2 m'
_symmetry_Int_Tables_number 121
_symmetry_space_group_name_Hall 'I -4 2'
loop_
_atom_site_label
_atom_site_type_symbol
_atom_site_fract_x
_atom_site_fract_y
_atom_site_fract_z
Zn1 Zn 0.000 0.000 0.000
Ge1 Ge 0.000 0.000 0.500
Te1 Te 0.250 0.250 0.124
Au1 Au 0.000 0.500 0.250
```

- final energy (eV/atom) = -3.259

A plane-wave DFT calculation with PBE was carried out for crystalline YSc2Mo at its relaxed geometry.

The structure in CIF format:
```
data_YSc2Mo
_cell_length_a 7.034
_cell_length_b 7.034
_cell_length_c 7.034
_cell_angle_alpha 90.00
_cell_angle_beta 90.00
_cell_angle_gamma 90.00
_symmetry_space_group_name_H-M 'F -4 3 m'
_symmetry_Int_Tables_number 216
_symmetry_space_group_name_Hall 'F -4 2 3'
loop_
_atom_site_label
_atom_site_type_symbol
_atom_site_fract_x
_atom_site_fract_y
_atom_site_fract_z
Y1 Y 0.000 0.000 0.000
Sc1 Sc 0.000 0.000 0.500
Sc2 Sc 0.250 0.250 0.750
Mo1 Mo 0.250 0.250 0.250
```

- final energy (eV/atom) = -7.218
- spin magnetization (μB per formula unit) = 0.0
- energy of formation from the pure elements (kcal/mol of atoms) = 6.3

A plane-wave DFT calculation with PBE was carried out for crystalline KLuCoTe3 at its relaxed geometry.

The structure in CIF format:
```
data_KLuCoTe3
_cell_length_a 9.735
_cell_length_b 4.190
_cell_length_c 10.065
_cell_angle_alpha 90.00
_cell_angle_beta 109.63
_cell_angle_gamma 90.00
_symmetry_space_group_name_H-M 'P 1 21/m 1'
_symmetry_Int_Tables_number 11
loop_
_symmetry_equiv_pos_as_xyz
'x,y,z'
'-x,-y,-z'
'-x,y+1/2,-z'
'x,-y+1/2,z'
loop_
_atom_site_label
_atom_site_type_symbol
_atom_site_fract_x
_atom_site_fract_y
_atom_site_fract_z
K1 K 0.200 0.250 0.237
Lu1 Lu 0.330 0.750 0.857
Co1 Co 0.074 0.250 0.589
Te1 Te 0.109 0.250 0.855
Te2 Te 0.197 0.750 0.532
Te3 Te 0.459 0.750 0.172
```

- polymorph energy (0 for the lowest one) (eV per atom) = 0.000
- final energy (eV/atom) = -4.525
- spin magnetization (μB per formula unit) = 1.9